No. 1
This record from OQMD describes a relaxed Cu4Ag5 crystal. The functional is PBE.

Cell: 4.866 4.866 8.360 Å, 108.10 108.10 47.66°
Positions (direct):
Ag  0.500  0.500  0.000
Ag  0.840  0.840  0.119
Ag  0.834  0.834  0.447
Ag  0.166  0.166  0.553
Ag  0.160  0.160  0.881
Cu  0.168  0.168  0.227
Cu  0.501  0.501  0.335
Cu  0.499  0.499  0.665
Cu  0.832  0.832  0.773

Output
* formation enthalpy at 0 K: 0.100 eV/atom
* excess energy over the best structure of this formula in the dataset: 0.062 eV per atom

No. 2
This record from OQMD describes a relaxed Cu5Ag3 crystal. The functional is PBE.

Cell: 2.760 7.906 7.906 Å, 40.78 90.00 90.00°
Positions (direct):
Ag  0.000  0.874  0.365
Ag  0.500  0.762  0.762
Ag  0.000  0.365  0.874
Cu  0.000  0.615  0.147
Cu  0.500  0.261  0.261
Cu  0.500  0.492  0.492
Cu  0.000  0.147  0.615
Cu  0.500  0.985  0.985

Output
* formation enthalpy at 0 K: 0.078 eV/atom
* excess energy over the best structure of this formula in the dataset: 0.031 eV per atom

No. 3
This record from OQMD describes a relaxed CuAg crystal. The functional is PBE.

Cell: 9.328 9.328 4.681 Å, 93.17 93.17 17.19°
Positions (direct):
Ag  0.625  0.625  0.188
Ag  0.269  0.269  0.257
Ag  0.731  0.731  0.743
Ag  0.375  0.375  0.812
Cu  0.000  0.000  0.000
Cu  0.894  0.894  0.320
Cu  0.500  0.500  0.500
Cu  0.106  0.106  0.680

Output
* formation enthalpy at 0 K: 0.082 eV/atom

No. 4
This record from OQMD describes a relaxed Cu3Ag7 crystal. The functional is PBE.

Cell: 4.912 4.915 7.511 Å, 102.25 108.80 99.93°
Positions (direct):
Ag  0.199  0.587  0.198
Ag  0.807  0.905  0.293
Ag  0.988  0.489  0.492
Ag  0.598  0.799  0.597
Ag  0.203  0.105  0.707
Ag  0.797  0.401  0.807
Ag  0.407  0.715  0.907
Cu  0.013  0.012  0.010
Cu  0.590  0.293  0.102
Cu  0.397  0.194  0.386

Output
* formation enthalpy at 0 K: 0.080 eV/atom
* excess energy over the best structure of this formula in the dataset: 0.051 eV per atom

No. 5
This record from OQMD describes a relaxed Cu8Ag crystal. The functional is PBE.

Cell: 4.511 4.511 6.368 Å, 90.00 90.00 120.00°
Positions (direct):
Ag  0.000  0.000  0.500
Cu  0.339  0.000  0.161
Cu  0.000  0.339  0.161
Cu  0.661  0.661  0.161
Cu  0.667  0.333  0.500
Cu  0.333  0.667  0.500
Cu  0.661  0.000  0.839
Cu  0.339  0.339  0.839
Cu  0.000  0.661  0.839

Output
* formation enthalpy at 0 K: 0.049 eV/atom
* excess energy over the best structure of this formula in the dataset: 0.012 eV per atom

No. 6
This record from OQMD describes a relaxed CuAg crystal. The functional is PBE.

Cell: 6.805 2.826 7.934 Å, 90.00 101.82 90.00°
Positions (direct):
Ag  0.704  0.000  0.104
Ag  0.105  0.000  0.275
Ag  0.511  0.000  0.505
Ag  0.183  0.500  0.603
Ag  0.299  0.000  0.918
Cu  0.418  0.500  0.211
Cu  0.809  0.500  0.410
Cu  0.882  0.000  0.701
Cu  0.609  0.500  0.803
Cu  0.979  0.500  0.971

Output
* formation enthalpy at 0 K: 0.092 eV/atom

No. 7
This record from OQMD describes a relaxed Cu5Ag3 crystal. The functional is PBE.

Cell: 2.753 3.672 11.149 Å, 90.00 90.00 90.00°
Positions (direct):
Ag  0.000  0.000  0.110
Ag  0.500  0.500  0.261
Ag  0.000  0.000  0.630
Cu  0.000  0.000  0.391
Cu  0.500  0.500  0.500
Cu  0.500  0.500  0.759
Cu  0.000  0.000  0.870
Cu  0.500  0.500  0.980

Output
* formation enthalpy at 0 K: 0.086 eV/atom
* excess energy over the best structure of this formula in the dataset: 0.040 eV per atom

No. 8
This record from OQMD describes a relaxed Cu4Ag3 crystal. The functional is PBE.

Cell: 10.839 10.839 10.839 Å, 164.96 162.11 23.45°
Positions (direct):
Ag  0.000  0.000  0.000
Ag  0.413  0.413  0.000
Ag  0.587  0.587  0.000
Cu  0.161  0.161  0.000
Cu  0.281  0.281  0.000
Cu  0.719  0.719  0.000
Cu  0.839  0.839  0.000

Output
* formation enthalpy at 0 K: 0.062 eV/atom
* excess energy over the best structure of this formula in the dataset: 0.013 eV per atom

No. 9
This record from OQMD describes a relaxed Cu3Ag2 crystal. The functional is PBE.

Cell: 7.281 7.281 4.669 Å, 95.68 95.68 142.51°
Positions (direct):
Ag  0.500  0.500  0.000
Ag  0.000  0.000  0.500
Ag  0.800  0.200  0.500
Ag  0.200  0.800  0.500
Cu  0.894  0.106  0.000
Cu  0.699  0.301  0.000
Cu  0.301  0.699  0.000
Cu  0.106  0.894  0.000
Cu  0.601  0.399  0.500
Cu  0.399  0.601  0.500

Output
* formation enthalpy at 0 K: 0.106 eV/atom
* excess energy over the best structure of this formula in the dataset: 0.064 eV per atom

No. 10
This record from OQMD describes a relaxed Cu2Ag5 crystal. The functional is PBE.

Cell: 4.960 4.960 6.295 Å, 96.21 96.21 47.79°
Positions (direct):
Ag  0.078  0.078  0.201
Ag  0.790  0.790  0.341
Ag  0.500  0.500  0.500
Ag  0.210  0.210  0.659
Ag  0.922  0.922  0.799
Cu  0.360  0.360  0.067
Cu  0.640  0.640  0.933

Output
* formation enthalpy at 0 K: 0.070 eV/atom
* excess energy over the best structure of this formula in the dataset: 0.035 eV per atom

No. 11
This record from OQMD describes a relaxed Cu5Ag3 crystal. The functional is PBE.

Cell: 5.357 5.357 8.903 Å, 119.00 119.00 30.92°
Positions (direct):
Ag  0.500  0.500  0.000
Ag  0.281  0.281  0.153
Ag  0.719  0.719  0.847
Cu  0.035  0.035  0.282
Cu  0.765  0.765  0.395
Cu  0.500  0.500  0.500
Cu  0.235  0.235  0.605
Cu  0.965  0.965  0.718

Output
* formation enthalpy at 0 K: 0.074 eV/atom
* excess energy over the best structure of this formula in the dataset: 0.027 eV per atom

No. 12
This record from OQMD describes a relaxed CuAg2 crystal. The functional is PBE.

Cell: 13.181 13.181 13.181 Å, 167.51 163.12 21.05°
Positions (direct):
Ag  0.107  0.107  0.000
Ag  0.214  0.214  0.000
Ag  0.334  0.334  0.000
Ag  0.455  0.455  0.000
Ag  0.774  0.774  0.000
Ag  0.894  0.894  0.000
Cu  0.006  0.006  0.000
Cu  0.556  0.556  0.000
Cu  0.660  0.660  0.000

Output
* formation enthalpy at 0 K: 0.076 eV/atom
* excess energy over the best structure of this formula in the dataset: 0.045 eV per atom

No. 13
This record from OQMD describes a relaxed CuAg crystal. The functional is PBE.

Cell: 4.767 4.768 5.568 Å, 89.84 72.63 79.87°
Positions (direct):
Ag  0.499  0.762  0.117
Ag  0.010  0.497  0.241
Ag  0.504  0.243  0.380
Ag  0.488  0.748  0.636
Cu  0.989  0.001  0.520
Cu  0.999  0.487  0.752
Cu  0.514  0.248  0.869
Cu  0.996  0.013  0.985

Output
* formation enthalpy at 0 K: 0.106 eV/atom

No. 14
This record from OQMD describes a relaxed CuAg crystal. The functional is PBE.

Cell: 4.878 4.878 11.364 Å, 97.91 97.91 33.89°
Positions (direct):
Ag  0.000  0.000  0.000
Ag  0.910  0.910  0.286
Ag  0.199  0.199  0.395
Ag  0.801  0.801  0.605
Ag  0.090  0.090  0.714
Cu  0.293  0.293  0.092
Cu  0.616  0.616  0.191
Cu  0.500  0.500  0.500
Cu  0.384  0.384  0.809
Cu  0.707  0.707  0.908

Output
* formation enthalpy at 0 K: 0.092 eV/atom

No. 15
This record from OQMD describes a relaxed Cu3Ag2 crystal. The functional is PBE.

Cell: 7.786 7.786 7.786 Å, 159.13 154.77 32.97°
Positions (direct):
Ag  0.312  0.312  0.000
Ag  0.688  0.688  0.000
Cu  0.085  0.085  0.000
Cu  0.500  0.500  0.000
Cu  0.915  0.915  0.000

Output
* formation enthalpy at 0 K: 0.073 eV/atom
* excess energy over the best structure of this formula in the dataset: 0.031 eV per atom

No. 16
This record from OQMD describes a relaxed Cu3Ag5 crystal. The functional is PBE.

Cell: 8.312 8.312 8.312 Å, 152.06 152.06 39.93°
Positions (direct):
Ag  0.500  0.500  0.000
Ag  0.631  0.131  0.500
Ag  0.869  0.369  0.500
Ag  0.131  0.631  0.500
Ag  0.369  0.869  0.500
Cu  0.000  0.000  0.000
Cu  0.250  0.250  0.000
Cu  0.750  0.750  0.000

Output
* formation enthalpy at 0 K: 0.086 eV/atom
* excess energy over the best structure of this formula in the dataset: 0.049 eV per atom

No. 17
This record from OQMD describes a relaxed CuAg crystal. The functional is PBE.

Cell: 3.936 3.936 7.716 Å, 90.00 90.00 90.00°
Positions (direct):
Ag  0.000  0.500  0.230
Ag  0.000  0.000  0.500
Ag  0.500  0.500  0.500
Ag  0.500  0.000  0.770
Cu  0.000  0.000  0.000
Cu  0.500  0.500  0.000
Cu  0.500  0.000  0.225
Cu  0.000  0.500  0.775

Output
* formation enthalpy at 0 K: 0.087 eV/atom

No. 18
This record from OQMD describes a relaxed CuAg crystal. The functional is PBE.

Cell: 7.472 7.472 7.608 Å, 105.72 105.72 21.54°
Positions (direct):
Ag  0.189  0.189  0.093
Ag  0.799  0.799  0.403
Ag  0.003  0.003  0.487
Ag  0.412  0.412  0.721
Ag  0.797  0.797  0.897
Cu  0.002  0.002  0.024
Cu  0.404  0.404  0.190
Cu  0.600  0.600  0.302
Cu  0.193  0.193  0.594
Cu  0.601  0.601  0.790

Output
* formation enthalpy at 0 K: 0.103 eV/atom

No. 19
This record from OQMD describes a relaxed Cu3Ag7 crystal. The functional is PBE.

Cell: 4.727 2.882 11.890 Å, 90.00 93.42 90.00°
Positions (direct):
Ag  0.764  0.000  0.075
Ag  0.276  0.500  0.141
Ag  0.821  0.500  0.295
Ag  0.000  0.000  0.500
Ag  0.179  0.500  0.705
Ag  0.724  0.500  0.859
Ag  0.236  0.000  0.925
Cu  0.342  0.000  0.331
Cu  0.500  0.500  0.500
Cu  0.658  0.000  0.669

Output
* formation enthalpy at 0 K: 0.060 eV/atom
* excess energy over the best structure of this formula in the dataset: 0.031 eV per atom

No. 20
This record from OQMD describes a relaxed Cu5Ag3 crystal. The functional is PBE.

Cell: 2.760 7.455 5.507 Å, 90.00 90.00 90.00°
Positions (direct):
Ag  0.000  0.264  0.243
Ag  0.000  0.736  0.243
Ag  0.500  0.000  0.517
Cu  0.500  0.500  0.522
Cu  0.000  0.260  0.755
Cu  0.000  0.740  0.755
Cu  0.500  0.500  0.973
Cu  0.500  0.000  0.992

Output
* formation enthalpy at 0 K: 0.090 eV/atom
* excess energy over the best structure of this formula in the dataset: 0.043 eV per atom